# 1
Entry from OQMD via LeMat-Bulk: a relaxed structure of NaTbHgTe3 (PBE).

Results
For the calculated volume, the calculation gives 32.6 Å³/atom. Its total magnetization is 0.000 μB/f.u. The value obtained for the energy relative to the lowest polymorph listed for this composition is 3.7 kJ/mol of atoms. The energy comes out at -82.6 eV per cell.

abc: 13.2925 4.4214 13.3278
angles: 90.00 90.00 90.00
Last column: nearest neighbours and their distance in Å.
Atoms (fractional coordinates):
Na 0.1489 0.2500 0.0070  5 Te 3.24-3.38
Na 0.3511 0.7500 0.5070  5 Te 3.24-3.38
Na 0.6489 0.2500 0.4930  5 Te 3.24-3.38
Na 0.8511 0.7500 0.9930  5 Te 3.24-3.38
Tb 0.0480 0.2500 0.3230  6 Te 3.02-3.33
Tb 0.4520 0.7500 0.8230  6 Te 3.02-3.33
Tb 0.5480 0.2500 0.1770  6 Te 3.02-3.33
Tb 0.9520 0.7500 0.6770  6 Te 3.02-3.33
Hg 0.2426 0.2500 0.7038  4 Te 2.79-2.92
Hg 0.2574 0.7500 0.2038  4 Te 2.79-2.92
Hg 0.7426 0.2500 0.7962  4 Te 2.79-2.92
Hg 0.7574 0.7500 0.2962  4 Te 2.79-2.92
Te 0.0474 0.7500 0.1546  1 Hg 2.87, 2 Tb 3.15
Te 0.0801 0.2500 0.5712  1 Hg 2.79
Te 0.2257 0.7500 0.8463  2 Hg 2.92, 1 Tb 3.02, 2 Na 3.24
Te 0.2743 0.2500 0.3463  2 Hg 2.92, 1 Tb 3.02, 2 Na 3.24
Te 0.4199 0.7500 0.0712  1 Hg 2.79
Te 0.4526 0.2500 0.6546  1 Hg 2.87, 2 Tb 3.15
Te 0.5474 0.7500 0.3454  1 Hg 2.87, 2 Tb 3.15
Te 0.5801 0.2500 0.9288  1 Hg 2.79
Te 0.7257 0.7500 0.6537  2 Hg 2.92, 1 Tb 3.02, 2 Na 3.24
Te 0.7743 0.2500 0.1537  2 Hg 2.92, 1 Tb 3.02, 2 Na 3.24
Te 0.9199 0.7500 0.4288  1 Hg 2.79
Te 0.9526 0.2500 0.8454  1 Hg 2.87, 2 Tb 3.15

***

# 2
Entry from OQMD via LeMat-Bulk: a relaxed structure of YEr2U2 (PBE).

Results
For the calculated volume, the calculation gives 27.3 Å³/atom. The energy of formation from the pure elements comes out at 0.41 eV/atom. Its total magnetization is 5.119 μB/f.u. The energy comes out at -72.3 eV per cell.

abc: 3.2963 3.2963 29.0619
angles: 90.00 90.00 120.00
Last column: nearest neighbours and their distance in Å.
Atoms (fractional coordinates):
Y 0.0000 0.0000 0.0000  6 Y 3.30, 6 U 3.44
Y 0.0000 0.0000 0.5000  6 Y 3.30, 6 U 3.44
Er 0.3333 0.6667 0.1929  7 Er 3.30-3.32, 3 U 3.34
Er 0.3333 0.6667 0.3071  7 Er 3.30-3.32, 3 U 3.34
Er 0.6667 0.3333 0.6929  7 Er 3.30-3.32, 3 U 3.34
Er 0.6667 0.3333 0.8071  7 Er 3.30-3.32, 3 U 3.34
U 0.3333 0.6667 0.5986  6 U 3.30, 3 Er 3.34, 3 Y 3.44
U 0.3333 0.6667 0.9014  6 U 3.30, 3 Er 3.34, 3 Y 3.44
U 0.6667 0.3333 0.0986  6 U 3.30, 3 Er 3.34, 3 Y 3.44
U 0.6667 0.3333 0.4014  6 U 3.30, 3 Er 3.34, 3 Y 3.44

***

# 3
Entry from OQMD via LeMat-Bulk: a relaxed structure of HoErAg2 (PBE).

Results
For the calculated volume, the calculation gives 23.8 Å³/atom. The energy of formation from the pure elements comes out at -0.30 eV/atom. Its total magnetization is 0.002 μB/f.u. The energy comes out at -16.0 eV per cell.

abc: 4.7372 5.7767 5.7767
angles: 36.97 90.00 90.00
Last column: nearest neighbours and their distance in Å.
Atoms (fractional coordinates):
Ho 0.0000 0.0000 0.0000  7 Ag 3.02-3.07
Er 0.5000 0.7141 0.7141  7 Ag 3.03-3.07
Ag 0.0000 0.2761 0.2761  2 Ag 2.96, 3 Ho 3.02-3.06, 4 Er 3.07
Ag 0.5000 0.4374 0.4374  2 Ag 2.96, 3 Er 3.03-3.06, 4 Ho 3.07

***

# 4
Entry from OQMD via LeMat-Bulk: a relaxed structure of TbMg (PBE).

Results
For the calculated volume, the calculation gives 27.8 Å³/atom. Its total magnetization is 0.001 μB/f.u. The energy comes out at -36.8 eV per cell.

abc: 5.5209 10.3382 5.8356
angles: 90.00 90.00 90.00
Last column: nearest neighbours and their distance in Å.
Atoms (fractional coordinates):
Tb 0.0000 0.0715 0.0000  7 Tb 3.27-3.66, 5 Mg 3.34-3.58
Tb 0.0000 0.2642 0.5252  7 Mg 3.25-3.39, 4 Tb 3.41-3.49
Tb 0.0000 0.7358 0.0252  7 Mg 3.25-3.39, 4 Tb 3.41-3.49
Tb 0.0000 0.9285 0.5000  7 Tb 3.27-3.66, 5 Mg 3.34-3.58
Tb 0.5000 0.2551 0.1595  8 Mg 3.30-3.55, 4 Tb 3.48-3.49
Tb 0.5000 0.7449 0.6595  8 Mg 3.30-3.55, 4 Tb 3.48-3.49
Mg 0.0000 0.4178 0.0115  6 Tb 3.25-3.58, 6 Mg 3.36-3.38
Mg 0.0000 0.5822 0.5115  6 Tb 3.25-3.58, 6 Mg 3.36-3.38
Mg 0.5000 0.0878 0.6540  9 Tb 3.34-3.55, 3 Mg 3.44-3.47
Mg 0.5000 0.4230 0.6784  5 Tb 3.30-3.49, 7 Mg 3.32-3.47
Mg 0.5000 0.5770 0.1784  5 Tb 3.30-3.49, 7 Mg 3.32-3.47
Mg 0.5000 0.9122 0.1540  9 Tb 3.34-3.55, 3 Mg 3.44-3.47

***

# 5
Entry from OQMD via LeMat-Bulk: a relaxed structure of Ba2ZnOsSe6 (PBE).

Results
For the calculated volume, the calculation gives 25.8 Å³/atom. Its total magnetization is 0.021 μB/f.u. The value obtained for the energy relative to the lowest polymorph listed for this composition is 1.9 kJ/mol of atoms. The energy comes out at -44.8 eV per cell.

abc: 6.9645 6.9645 8.3513
angles: 123.75 123.75 54.91
Last column: nearest neighbours and their distance in Å.
Atoms (fractional coordinates):
Ba 0.2505 0.2505 0.2274  7 Se 3.23-3.47
Ba 0.7495 0.7495 0.7726  7 Se 3.23-3.47
Zn 0.5000 0.5000 0.0000  2 Se 2.46
Os 0.0000 0.0000 0.5000  6 Se 2.51-2.60
Se 0.2032 0.6908 0.6689  1 Os 2.51
Se 0.2528 0.2528 0.8424  1 Zn 2.46, 1 Os 2.60
Se 0.3092 0.7968 0.3311  1 Os 2.51
Se 0.6908 0.2032 0.6689  1 Os 2.51
Se 0.7472 0.7472 0.1576  1 Zn 2.46, 1 Os 2.60
Se 0.7968 0.3092 0.3311  1 Os 2.51

***

# 6
Entry from OQMD via LeMat-Bulk: a relaxed structure of CdTePdO (PBE).

Results
For the calculated volume, the calculation gives 19.4 Å³/atom. The value obtained for the energy relative to the lowest polymorph listed for this composition is 21.8 kJ/mol of atoms. The energy comes out at -30.7 eV per cell.

abc: 3.6228 3.6228 11.8044
angles: 90.00 90.00 90.00
Last column: nearest neighbours and their distance in Å.
Atoms (fractional coordinates):
Cd 0.2500 0.2500 0.0968  1 O 2.24
Cd 0.7500 0.7500 0.9032  1 O 2.24
Te 0.2500 0.2500 0.6744  4 Pd 2.74, 1 O 2.75
Te 0.7500 0.7500 0.3256  4 Pd 2.74, 1 O 2.75
Pd 0.2500 0.7500 0.5000  4 Pd 2.56, 4 Te 2.74
Pd 0.7500 0.2500 0.5000  4 Pd 2.56, 4 Te 2.74
O 0.2500 0.2500 0.9070  1 Cd 2.24
O 0.7500 0.7500 0.0930  1 Cd 2.24

***

# 7
Entry from OQMD via LeMat-Bulk: a relaxed structure of Li2NiAs2 (PBE).

Results
For the calculated volume, the calculation gives 15.6 Å³/atom. Its total magnetization is 0.001 μB/f.u. The energy comes out at -42.5 eV per cell.

abc: 6.0828 6.0828 4.2039
angles: 90.00 90.00 90.00
Last column: nearest neighbours and their distance in Å.
Atoms (fractional coordinates):
Li 0.1679 0.3321 0.0000  6 As 2.65-2.84, 1 Li 2.89
Li 0.3321 0.8321 0.0000  6 As 2.65-2.84, 1 Li 2.89
Li 0.6679 0.1679 0.0000  6 As 2.65-2.84, 1 Li 2.89
Li 0.8321 0.6679 0.0000  6 As 2.65-2.84, 1 Li 2.89
Ni 0.0000 0.0000 0.5000  4 As 2.33
Ni 0.5000 0.5000 0.5000  4 As 2.33
As 0.1454 0.6454 0.5000  2 Ni 2.33, 1 As 2.50
As 0.3546 0.1454 0.5000  2 Ni 2.33, 1 As 2.50
As 0.6454 0.8546 0.5000  2 Ni 2.33, 1 As 2.50
As 0.8546 0.3546 0.5000  2 Ni 2.33, 1 As 2.50

***

# 8
Entry from OQMD via LeMat-Bulk: a relaxed structure of ErMgBi (PBE).

Results
For the calculated volume, the calculation gives 32.6 Å³/atom. Its total magnetization is 0.001 μB/f.u. The value obtained for the energy relative to the lowest polymorph listed for this composition is 0.0 kJ/mol of atoms. The energy comes out at -10.5 eV per cell.

abc: 5.1690 5.1690 5.1690
angles: 60.00 60.00 60.00
Last column: nearest neighbours and their distance in Å.
Atoms (fractional coordinates):
Er 0.0000 0.0000 0.0000  4 Bi 3.17, 4 Mg 3.17
Mg 0.2500 0.2500 0.2500  4 Er 3.17
Bi 0.7500 0.7500 0.7500  4 Er 3.17

***

> Which value of energy does entry 4 give?

-36.8 eV per cell